A plane-wave DFT calculation with PBE was carried out for a relaxed Sr4ZnHg crystal.

Mass density in g cm⁻³: 3.57
SG: No. 216
Total magnetic moment in μB per formula unit: 0.0
Relative energy among the computed polymorphs in kJ per mole of atoms: 65.7

Cell lengths 7.4022, 7.4022, 7.4022 Å; angles 60.00, 60.00, 60.00 degrees
Atoms (fractional coordinates):
Sr 0.3751 0.8748 0.3751
Sr 0.3751 0.3751 0.8748
Sr 0.8748 0.3751 0.3751
Sr 0.3751 0.3751 0.3751
Zn 0.7500 0.7500 0.7500
Hg 0.0000 0.0000 0.0000

A plane-wave DFT calculation with PBE was carried out for a relaxed Rb2HgSe crystal.

ΔE_f (raw) in kJ/mol of formula units: -254.7
Mass density in g cm⁻³: 5.07
SG: No. 123
Total magnetic moment in μB per formula unit: 0.0
Relative energy among the computed polymorphs in kJ per mole of atoms: 9.4

Cell lengths 4.6166, 5.6525, 5.6525 Å; angles 90.00, 90.00, 90.00 degrees
Atoms (fractional coordinates):
Hg 0.5000 0.0000 0.0000
Se 0.5000 0.5000 0.5000
Rb 0.0000 0.0000 0.5000
Rb 0.0000 0.5000 0.0000

A plane-wave DFT calculation with PBE was carried out for a relaxed PaTaTiW crystal.

Mass density in g cm⁻³: 14.31
SG: No. 216
Total magnetic moment in μB per formula unit: 0.0
Electronic total energy in eV per cell: -41.8

Cell lengths 4.7273, 4.7273, 4.7273 Å; angles 60.00, 60.00, 60.00 degrees
Atoms (fractional coordinates):
Pa 0.5000 0.5000 0.5000
Ti 0.0000 0.0000 0.0000
W 0.2500 0.2500 0.2500
Ta 0.7500 0.7500 0.7500

A plane-wave DFT calculation with PBE was carried out for a relaxed Mg8Cu2Ru crystal.

Mass density in g cm⁻³: 3.45
SG: No. 12
Total magnetic moment in μB per formula unit: 0.0
Relative energy among the computed polymorphs in kJ per mole of atoms: 0.7

Cell lengths 4.4819, 6.7017, 7.7228 Å; angles 112.40, 106.87, 90.00 degrees
Atoms (fractional coordinates):
Mg 0.6113 0.4402 0.2227
Mg 0.3887 0.5598 0.7773
Mg 0.9728 0.2306 0.9457
Mg 0.8308 0.7691 0.6615
Mg 0.0272 0.7694 0.0543
Mg 0.6663 0.9220 0.3327
Mg 0.3337 0.0780 0.6673
Mg 0.1692 0.2309 0.3385
Ru 0.5000 0.0000 0.0000
Cu 0.1953 0.6708 0.3906
Cu 0.8047 0.3292 0.6094

A plane-wave DFT calculation with PBE was carried out for a relaxed YAl3NiAu crystal.

Mass density in g cm⁻³: 6.47
SG: No. 63
Total magnetic moment in μB per formula unit: 0.0
Electronic total energy in eV per cell: -59.0

Cell lengths 5.8148, 6.1001, 6.8689 Å; angles 116.36, 90.00, 90.00 degrees
Atoms (fractional coordinates):
Ni 0.2500 0.9341 0.8683
Ni 0.7500 0.0659 0.1317
Al 0.2500 0.1345 0.2690
Al 0.5000 0.7161 0.0000
Al 0.0000 0.2839 0.0000
Al 0.5000 0.2839 0.0000
Al 0.0000 0.7161 0.0000
Al 0.7500 0.8655 0.7310
Y 0.2500 0.7222 0.4443
Y 0.7500 0.2778 0.5557
Au 0.7500 0.6551 0.3103
Au 0.2500 0.3449 0.6897

A plane-wave DFT calculation with PBE was carried out for a relaxed PaAlCrOs crystal.

Mass density in g cm⁻³: 12.13
SG: No. 216
Total magnetic moment in μB per formula unit: 1.7
Electronic total energy in eV per cell: -34.6

Cell lengths 4.5925, 4.5925, 4.5925 Å; angles 60.00, 60.00, 60.00 degrees
Site moments in Bohr magnetons follow the coordinates.
Atoms (fractional coordinates):
Pa 0.0000 0.0000 0.0000  -0.18
Cr 0.7500 0.7500 0.7500  1.77
Al 0.5000 0.5000 0.5000  -0.02
Os 0.2500 0.2500 0.2500  0.11

A plane-wave DFT calculation with PBE was carried out for a relaxed Li2YMn crystal.

Mass density in g cm⁻³: 3.38
SG: No. 122
Total magnetic moment in μB per formula unit: 0.1
Relative energy among the computed polymorphs in kJ per mole of atoms: 40.3

Cell lengths 3.7998, 3.7998, 11.0643 Å; angles 80.11, 80.11, 90.00 degrees
Site moments in Bohr magnetons follow the coordinates.
Atoms (fractional coordinates):
Mn 0.5000 0.5000 0.0000  0.08
Mn 0.2500 0.7500 0.5000  0.07
Li 0.1673 0.1250 0.2500  0.00
Li 0.5827 0.6250 0.2500  0.00
Li 0.8750 0.4173 0.7500  0.00
Li 0.3750 0.8327 0.7500  0.00
Y 0.7500 0.2500 0.5000  0.01
Y 0.0000 0.0000 0.0000  0.01

A plane-wave DFT calculation with PBE was carried out for a relaxed Nd5PuP6 crystal.

Mass density in g cm⁻³: 6.37
SG: No. 12
Total magnetic moment in μB per formula unit: 4.8
Electronic total energy in eV per cell: -88.2

Cell lengths 7.1636, 7.1636, 7.1666 Å; angles 99.61, 99.61, 119.98 degrees
Site moments in Bohr magnetons follow the coordinates.
Atoms (fractional coordinates):
P 0.0816 0.4059 0.2449  -0.05
P 0.9184 0.5941 0.7551  -0.05
P 0.4059 0.0816 0.2449  -0.05
P 0.5941 0.9184 0.7551  -0.05
P 0.2427 0.2427 0.7552  -0.05
P 0.7573 0.7573 0.2448  -0.05
Nd 0.5000 0.5000 0.5000  0.02
Nd 0.1682 0.8318 0.5000  0.02
Nd 0.3338 0.6662 0.0000  0.02
Nd 0.6662 0.3338 0.0000  0.02
Nd 0.8318 0.1682 0.5000  0.02
Pu 0.0000 0.0000 0.0000  4.88

Which value of total magnetic moment does entry 6 give?
1.7 μB per formula unit

Which formula does entry 5 have?
YAl3NiAu

Number 8 is which compound?
Nd5PuP6